(1)
# PBE LiRu2Rh, relaxed
# DOS at the Fermi energy, states/eV/f.u.: 5.7
# Offset from the most stable computed form, meV per atom: 157
# Total magnetic moment, μB/f.u.: 0.83
# Formation enthalpy at 0 K, eV/atom: 0.249
# DFT total energy, eV per atom: -6.705
data_LiRu2Rh
_cell_length_a 2.754
_cell_length_b 4.562
_cell_length_c 9.008
_cell_angle_alpha 90.00
_cell_angle_beta 90.00
_cell_angle_gamma 90.00
_symmetry_space_group_name_H-M 'C m m 2'
_symmetry_Int_Tables_number 35
_symmetry_space_group_name_Hall 'C 2 -2'
loop_
_atom_site_label
_atom_site_type_symbol
_atom_site_fract_x
_atom_site_fract_y
_atom_site_fract_z
_atom_site_occupancy
Li1 Li 0.000 0.000 0.000 1
Ru1 Ru 0.000 0.000 0.502 1
Ru2 Ru 0.000 0.500 0.256 1
Rh1 Rh 0.000 0.500 0.757 1



(2)
# PBE LiRu2Rh, relaxed
# DOS at the Fermi energy, states/eV/f.u.: 4.0
# Offset from the most stable computed form, meV per atom: 10
# Total magnetic moment, μB/f.u.: 0.00
# Formation enthalpy at 0 K, eV/atom: 0.101
# DFT total energy, eV per atom: -6.853
data_LiRu2Rh
_cell_length_a 8.765
_cell_length_b 2.674
_cell_length_c 4.698
_cell_angle_alpha 90.00
_cell_angle_beta 98.43
_cell_angle_gamma 90.00
_symmetry_space_group_name_H-M 'C 1 m 1'
_symmetry_Int_Tables_number 8
_symmetry_space_group_name_Hall 'C -2y'
loop_
_atom_site_label
_atom_site_type_symbol
_atom_site_fract_x
_atom_site_fract_y
_atom_site_fract_z
_atom_site_occupancy
Li1 Li 0.000 0.000 0.000 1
Ru1 Ru 0.009 0.500 0.495 1
Ru2 Ru 0.260 0.500 0.292 1
Rh1 Rh 0.247 0.000 0.802 1



(3)
# PBE Li2RuRh, relaxed
# DOS at the Fermi energy, states/eV/f.u.: 5.4
# Offset from the most stable computed form, meV per atom: 328
# Total magnetic moment, μB/f.u.: 1.59
# Formation enthalpy at 0 K, eV/atom: 0.328
# DFT total energy, eV per atom: -4.785
data_Li2RuRh
_cell_length_a 5.829
_cell_length_b 5.829
_cell_length_c 5.829
_cell_angle_alpha 90.00
_cell_angle_beta 90.00
_cell_angle_gamma 90.00
_symmetry_space_group_name_H-M 'F m -3 m'
_symmetry_Int_Tables_number 225
_symmetry_space_group_name_Hall '-F 4 2 3'
loop_
_atom_site_label
_atom_site_type_symbol
_atom_site_fract_x
_atom_site_fract_y
_atom_site_fract_z
_atom_site_occupancy
Li1 Li 0.250 0.250 0.250 1
Ru1 Ru 0.000 0.000 0.000 1
Rh1 Rh 0.000 0.000 0.500 1



(4)
# PBE LiRu2Rh, relaxed
# DOS at the Fermi energy, states/eV/f.u.: 4.5
# Offset from the most stable computed form, meV per atom: 83
# Total magnetic moment, μB/f.u.: 0.00
# Formation enthalpy at 0 K, eV/atom: 0.175
# DFT total energy, eV per atom: -6.779
data_LiRu2Rh
_cell_length_a 2.653
_cell_length_b 4.134
_cell_length_c 5.033
_cell_angle_alpha 90.00
_cell_angle_beta 104.26
_cell_angle_gamma 90.00
_symmetry_space_group_name_H-M 'P 1 2/m 1'
_symmetry_Int_Tables_number 10
_symmetry_space_group_name_Hall '-P 2y'
loop_
_atom_site_label
_atom_site_type_symbol
_atom_site_fract_x
_atom_site_fract_y
_atom_site_fract_z
_atom_site_occupancy
Li1 Li 0.000 0.000 0.000 1
Ru1 Ru 0.397 0.500 0.235 1
Rh1 Rh 0.000 0.000 0.500 1